1) ## Pm6Y8Sc (GGA-PBE)

Data for crystalline Pm6Y8Sc at its relaxed geometry.

As for the density of states at the Fermi level: 1.357 states/eV per atom. For the volume, the calculation gives 1469.3 Å³ per cell.

The structure belongs to space group R-3 (No. 148, hexagonal axes); the cell edges are 9.7954, 9.7954 and 17.6826 Å and the angles 90.00°, 90.00° and 120.00°. The inequivalent atoms are Pm at (0.0386, 0.4156, 0.3430), Y at (0.0000, 0.0000, 0.4119), Y at (0.0625, 0.2425, 0.1703) and Sc at (0.0000, 0.0000, 0.0000).


2) ## Pm6Y8Sc (GGA-PBE)

Data for crystalline Pm6Y8Sc at its relaxed geometry.

As for the density of states at the Fermi level: 1.573 states/eV per atom. For the volume, the calculation gives 1493.2 Å³ per cell.

The structure belongs to space group R-3 (No. 148, hexagonal axes); the cell edges are 9.1026, 9.1026 and 20.8096 Å and the angles 90.00°, 90.00° and 120.00°. The inequivalent atoms are Pm at (0.0644, 0.2515, 0.2091), Y at (0.0000, 0.0000, 0.0774), Y at (0.0826, 0.5576, 0.3066) and Sc at (0.0000, 0.0000, 0.5000).


2) wins, 6.3 kJ/mol of atoms ahead of the next structure.